The following is a DFT calculation (PBE) of a geometry-optimized TbPu3Tl3Se8 structure.

```
TbPu3Tl3Se8
1.0
8.3908 0.0000 0.0000
-4.1954 7.2666 -0.0259
0.0000 -4.8145 7.7441
Pu Se Tl Tb
3 8 3 1
Cartesian
4.1954 -2.4072 3.8721 Pu
2.0977 1.2261 3.8591 Pu
-2.0977 1.2261 3.8591 Pu
4.1954 0.0204 5.4270 Se
2.1112 -1.1939 2.3073 Se
0.0000 0.0361 5.4236 Se
6.2796 -1.1939 2.3073 Se
-2.0842 3.6460 5.4109 Se
2.0842 3.6460 5.4109 Se
4.1954 2.4161 2.2946 Se
0.0000 2.4317 2.2911 Se
0.0000 0.0000 0.0000 Tl
-2.0977 3.6333 -0.0130 Tl
2.0977 3.6333 -0.0130 Tl
0.0000 -2.4072 3.8721 Tb
```

Calculated values
The density of states at the Fermi level comes out at 31.037 states/eV per cell. The calculation puts the uncorrected formation energy at -1.215 eV per atom. The spin magnetization comes out at 14.0 μB per formula unit.

---

The following is a DFT calculation (PBE) of a geometry-optimized Zr4Sb structure.

```
Zr4Sb
1.0
6.1369 0.0000 0.0000
0.0000 6.1369 0.0000
-3.0684 -3.0684 6.5277
Zr Sb
8 2
Cartesian
-0.8644 4.4022 2.2516 Zr
0.8644 1.7347 2.2516 Zr
1.3338 3.9329 4.2760 Zr
1.3338 0.8644 5.5155 Zr
-1.3338 -0.8644 5.5155 Zr
3.9329 1.7347 1.0122 Zr
-1.3338 2.2040 4.2760 Zr
2.2040 4.4022 1.0122 Zr
3.0684 0.0000 3.2638 Sb
0.0000 0.0000 0.0000 Sb
```

Calculated values
The density of states at the Fermi level comes out at 6.130 states/eV per cell. The polymorph energy (0 for the lowest one) is 40 meV/atom. The calculation puts the uncorrected formation energy at -0.248 eV per atom. The spin magnetization comes out at 0.0 μB per formula unit.

---

The following is a DFT calculation (PBE) of a geometry-optimized ZrNiPt4 structure.

```
ZrNiPt4
1.0
0.0000 3.6992 3.6992
3.6992 0.0000 3.6992
3.6992 3.6992 0.0000
Zr Pt Ni
1 4 1
Cartesian
5.5488 5.5488 5.5488 Zr
2.7702 4.6282 4.6282 Pt
4.6282 2.7702 4.6282 Pt
2.7702 2.7702 2.7702 Pt
4.6282 4.6282 2.7702 Pt
0.0000 0.0000 0.0000 Ni
```

Calculated values
The density of states at the Fermi level comes out at 5.182 states/eV per cell. The polymorph energy (0 for the lowest one) is 81 meV/atom. The formation energy comes out at -0.435 eV/atom. The spin magnetization comes out at 0.0 μB per formula unit.

---

The following is a DFT calculation (PBE) of a geometry-optimized FeHOs2Rh structure.

```
FeHOs2Rh
1.0
3.8482 0.0000 0.0000
0.0000 3.8482 0.0000
0.0000 0.0000 3.8215
Os Fe Rh H
2 1 1 1
Cartesian
1.9241 0.0000 0.0000 Os
0.0000 1.9241 0.0000 Os
0.0000 0.0000 1.9107 Fe
1.9241 1.9241 1.9107 Rh
0.0000 0.0000 0.0000 H
```

Calculated values
The density of states at the Fermi level comes out at 5.328 states/eV per cell. The calculation puts the electronic total energy at -8.089 eV/atom. The spin magnetization comes out at 1.7 μB per formula unit.

---

The following is a DFT calculation (PBE) of a geometry-optimized ScCr2Rh structure.

```
ScCr2Rh
1.0
3.2741 0.0000 0.0000
0.0000 4.0872 0.0000
0.0000 0.0000 4.5742
Cr Rh Sc
2 1 1
Cartesian
1.6370 2.0436 0.0000 Cr
0.0000 0.0000 0.0000 Cr
1.6370 0.0000 2.2871 Rh
0.0000 2.0436 2.2871 Sc
```

Calculated values
The density of states at the Fermi level comes out at 3.026 states/eV per cell. The polymorph energy (0 for the lowest one) is 0 meV/atom. The formation energy comes out at -0.155 eV/atom. The spin magnetization comes out at 0.1 μB per formula unit.

---

The following is a DFT calculation (PBE) of a geometry-optimized Be3Ir2 structure.

```
Be3Ir2
1.0
1.9474 -3.3731 0.0000
1.9474 3.3731 0.0000
0.0000 0.0000 4.6228
Ir Be
2 3
Cartesian
1.9474 1.1244 3.8322 Ir
1.9474 -1.1244 0.7906 Ir
1.9474 -1.1244 3.0267 Be
0.0000 0.0000 0.0000 Be
1.9474 1.1244 1.5961 Be
```

Calculated values
The density of states at the Fermi level comes out at 3.228 states/eV per cell. The polymorph energy (0 for the lowest one) is 291 meV/atom. The formation energy comes out at -0.162 eV/atom. The spin magnetization comes out at 0.0 μB per formula unit.